Run a
DFT (PBE) results for a relaxed CaNbSbI2 crystal.

Summary:
The calculation puts the mass density at 4.79 Mg/m³. As for the density of states at the Fermi level: 3.95 states/eV/f.u.

Cell and atoms, written as POSCAR:
```
CaNbSbI2
1.0
5.654 0.000 0.000
0.000 5.654 0.000
0.000 0.000 5.515
I Ca Sb Nb
2 1 1 1
direct
0.500 0.000 0.000 I
0.000 0.500 0.000 I
0.500 0.500 0.500 Ca
0.000 0.000 0.500 Sb
0.000 0.000 0.000 Nb
```

=====

Run b
DFT (PBE) results for a relaxed CaNbSbI2 crystal.

Summary:
The calculation puts the mass density at 4.44 Mg/m³. As for the density of states at the Fermi level: 8.00 states/eV/f.u.

Cell and atoms, written as POSCAR:
```
CaNbSbI2
1.0
5.337 0.000 0.000
0.000 5.337 0.000
0.000 0.000 6.682
Nb I Sb Ca
1 2 1 1
direct
0.000 0.000 0.000 Nb
0.000 0.500 0.000 I
0.500 0.000 0.000 I
0.500 0.500 0.500 Sb
0.000 0.000 0.500 Ca
```

=====

Of them, run b has the lowest stability.

=====

Run a
DFT (PBE) results for a relaxed Ca2NdI crystal.

Summary:
The calculation puts the mass density at 4.00 Mg/m³. As for the density of states at the Fermi level: 3.32 states/eV/f.u.

Cell and atoms, written as POSCAR:
```
Ca2NdI
1.0
3.925 0.000 0.000
1.963 3.399 0.000
1.963 1.133 10.941
Nd I Ca
1 1 2
direct
0.500 0.500 0.500 Nd
0.000 0.000 0.000 I
0.742 0.742 0.774 Ca
0.258 0.258 0.226 Ca
```

=====

Run b
DFT (PBE) results for a relaxed Ca2NdI crystal.

Summary:
The calculation puts the mass density at 3.96 Mg/m³. As for the density of states at the Fermi level: 4.76 states/eV/f.u.

Cell and atoms, written as POSCAR:
```
Ca2NdI
1.0
-2.534 -0.904 2.695
2.690 -1.931 1.882
2.452 8.415 5.128
I Nd Ca
1 1 2
direct
0.500 0.500 0.500 I
0.500 0.500 0.000 Nd
0.000 0.000 0.267 Ca
0.000 0.000 0.733 Ca
```

=====

Of them, run b has the lowest stability.

=====

Run a
DFT (PBE) results for a relaxed Ca2NiI crystal.

Summary:
The calculation puts the mass density at 3.50 Mg/m³. As for the density of states at the Fermi level: 5.06 states/eV/f.u.

Cell and atoms, written as POSCAR:
```
Ca2NiI
1.0
-3.424 7.006 0.799
-2.089 -1.857 7.323
0.765 4.136 5.462
Ca Ni I
4 2 2
direct
0.875 0.821 0.750 Ca
0.571 0.125 0.250 Ca
0.179 0.625 0.250 Ca
0.375 0.429 0.750 Ca
0.250 0.750 0.500 Ni
0.500 0.500 0.000 Ni
0.750 0.250 0.500 I
0.000 0.000 0.000 I
```

=====

Run b
DFT (PBE) results for a relaxed Ca2NiI crystal.

Summary:
The calculation puts the mass density at 4.12 Mg/m³. As for the density of states at the Fermi level: 1.99 states/eV/f.u.

Cell and atoms, written as POSCAR:
```
Ca2NiI
1.0
-4.325 -1.658 2.638
-2.626 3.363 3.194
-4.823 1.787 -1.399
I Ni Ca
1 1 2
direct
0.500 0.500 0.500 I
0.000 0.000 0.000 Ni
0.750 0.750 0.750 Ca
0.250 0.250 0.250 Ca
```

=====

Of them, run b has the lowest stability.

=====

Run a
DFT (PBE) results for a relaxed CaNiI3 crystal.

Summary:
The calculation puts the mass density at 5.17 Mg/m³. As for the density of states at the Fermi level: 2.33 states/eV/f.u.

Cell and atoms, written as POSCAR:
```
CaNiI3
1.0
-3.792 -2.782 2.575
-2.369 -1.104 -4.681
2.959 -4.449 -0.449
Ni Ca I
1 1 3
direct
0.000 0.000 0.000 Ni
0.500 0.500 0.500 Ca
0.500 0.000 0.000 I
0.000 0.000 0.500 I
0.000 0.500 0.000 I
```

=====

Run b
DFT (PBE) results for a relaxed CaNiI3 crystal.

Summary:
The calculation puts the mass density at 3.56 Mg/m³. As for the density of states at the Fermi level: 19.08 states/eV/f.u.

Cell and atoms, written as POSCAR:
```
CaNiI3
1.0
-5.168 -2.899 1.303
2.644 -5.302 -1.310
1.764 -0.548 5.779
I Ni Ca
3 1 1
direct
0.500 0.000 0.000 I
0.000 0.500 0.000 I
0.000 0.000 0.500 I
0.500 0.500 0.500 Ni
0.000 0.000 0.000 Ca
```

=====

Of them, run b has the lowest stability.

=====

Run a
DFT (PBE) results for a relaxed CaNi2I crystal.

Summary:
The calculation puts the mass density at 5.03 Mg/m³. As for the density of states at the Fermi level: 1.77 states/eV/f.u.

Cell and atoms, written as POSCAR:
```
CaNi2I
1.0
4.726 0.000 0.000
0.000 4.726 0.000
2.363 2.363 8.404
Ni Ca I
4 2 2
direct
0.875 0.066 0.750 Ni
0.816 0.125 0.250 Ni
0.375 0.184 0.750 Ni
0.934 0.625 0.250 Ni
0.500 0.500 0.000 Ca
0.250 0.750 0.500 Ca
0.750 0.250 0.500 I
0.000 0.000 0.000 I
```

=====

Run b
DFT (PBE) results for a relaxed CaNi2I crystal.

Summary:
The calculation puts the mass density at 6.38 Mg/m³. As for the density of states at the Fermi level: 3.56 states/eV/f.u.

Cell and atoms, written as POSCAR:
```
CaNi2I
1.0
0.000 3.332 3.332
3.332 0.000 3.332
3.332 3.332 0.000
Ca Ni I
1 2 1
direct
0.000 0.000 0.000 Ca
0.750 0.750 0.750 Ni
0.250 0.250 0.250 Ni
0.500 0.500 0.500 I
```

=====

Of them, run b has the lowest stability.